Record 1
This record from Alexandria via LeMat-Bulk describes a relaxed structure of AlH3O3. The functional is PBE-GGA.

crystal system	triclinic
energy relative to the lowest polymorph listed for this composition	3.1	meV per atom
density of states at the Fermi level	0.00	states/eV per atom
space group	P1 (1)
volume	7.71	Å³/atom

```
AlH3O3
1.0
-2.110 1.864 -4.373
-5.174 -0.150 0.153
-1.347 4.928 -0.566
Al H O
2 6 6
Cartesian
-0.578 1.110 -0.840 Al
-8.084 5.575 -4.036 Al
-4.811 4.828 -1.686 H
-3.803 1.894 -3.175 H
-5.646 2.623 -2.357 H
-3.029 4.032 -2.400 H
-2.811 2.427 -0.528 H
-6.309 4.079 -3.481 H
-5.721 4.561 -1.387 O
-2.903 2.108 -3.537 O
-5.420 1.679 -2.490 O
-3.196 4.997 -2.377 O
-6.707 4.233 -4.361 O
-1.830 2.479 -0.539 O
```

---

Record 2
This record from Alexandria via LeMat-Bulk describes a relaxed structure of CaHI2. The functional is PBE-GGA.

uncorrected energy	-11.28	eV for the cell shown
crystal system	triclinic
density of states at the Fermi level	0.31	states/eV per atom
space group	P-1 (2)
volume	31.02	Å³/atom

```
CaHI2
1.0
4.376 0.001 0.000
2.182 4.091 -0.001
2.164 0.908 6.931
Ca H I
1 1 2
Cartesian
2.173 2.499 3.465 Ca
4.361 2.499 3.465 H
4.358 4.066 5.398 I
4.365 0.933 1.532 I
```

---

Record 3
This record from Alexandria via LeMat-Bulk describes a relaxed structure of ScBiOsO6. The functional is PBE-GGA.

uncorrected energy	-133.58	eV for the cell shown
crystal system	trigonal
density of states at the Fermi level	0.50	states/eV per atom
space group	P-31c (163)
volume	13.51	Å³/atom

```
ScBiOsO6
1.0
-4.631 -2.637 0.320
4.593 -2.544 0.968
-0.694 2.375 9.534
Sc Bi Os O
2 2 2 12
Cartesian
1.345 -1.982 3.135 Sc
-2.077 -0.825 7.686 Sc
0.000 0.000 0.000 Bi
-0.347 1.187 4.767 Bi
-1.730 -2.012 2.919 Os
0.998 -0.794 7.903 Os
-0.226 -2.973 2.140 O
-3.009 -3.140 1.979 O
2.418 -1.895 7.152 O
2.277 0.334 8.843 O
-0.369 -1.023 3.900 O
-1.901 -3.313 4.359 O
0.992 -2.093 9.354 O
-3.150 -0.912 3.670 O
1.169 0.506 6.463 O
-1.724 -0.714 1.468 O
-0.363 -1.784 6.922 O
-0.506 0.166 8.682 O
```

---

Record 4
This record from Alexandria via LeMat-Bulk describes a relaxed structure of CdBi2Sb2. The functional is PBE-GGA.

crystal system	tetragonal
energy relative to the lowest polymorph listed for this composition	110.0	meV per atom
density of states at the Fermi level	0.84	states/eV per atom
space group	P4/mbm (127)
volume	30.94	Å³/atom

```
CdBi2Sb2
1.0
8.638 0.000 0.000
0.000 8.638 0.000
0.000 0.000 4.147
Sb Bi Cd
4 4 2
Cartesian
1.283 5.602 2.074 Sb
5.602 7.355 2.074 Sb
7.355 3.036 2.074 Sb
3.036 1.283 2.074 Sb
3.012 7.331 0.000 Bi
7.331 5.625 0.000 Bi
5.625 1.307 0.000 Bi
1.307 3.012 0.000 Bi
0.000 0.000 0.000 Cd
4.319 4.319 0.000 Cd
```

---

Record 5
This record from Alexandria via LeMat-Bulk describes a relaxed structure of HfPd2Pt2Rh. The functional is PBE-GGA.

uncorrected energy	-84.97	eV for the cell shown
crystal system	monoclinic
density of states at the Fermi level	0.96	states/eV per atom
space group	P2_1/m (11)
volume	16.34	Å³/atom

```
HfPd2Pt2Rh
1.0
-0.127 4.054 3.635
-4.451 1.835 -2.202
-2.863 -4.216 4.602
Hf Pd Pt Rh
2 4 4 2
Cartesian
-3.942 0.026 5.954 Hf
-3.500 1.647 0.081 Hf
-1.424 1.595 2.262 Pd
-1.487 3.612 4.070 Pd
-5.954 -1.939 1.965 Pd
-6.018 0.078 3.773 Pd
-5.836 0.705 1.050 Pt
-3.617 -0.215 2.153 Pt
-1.606 0.968 4.986 Pt
-3.825 1.888 3.882 Pt
-3.854 -2.034 4.174 Rh
-3.587 3.707 1.861 Rh
```

---

Record 6
This record from Alexandria via LeMat-Bulk describes a relaxed structure of SmHo2Al9. The functional is PBE-GGA.

crystal system	tetragonal
energy relative to the lowest polymorph listed for this composition	0.0	meV per atom
density of states at the Fermi level	0.39	states/eV per atom
space group	P4/mmm (123)
volume	19.49	Å³/atom

```
SmHo2Al9
1.0
4.273 0.000 0.000
0.000 4.273 0.000
0.000 0.000 12.811
Sm Ho Al
1 2 9
Cartesian
0.000 0.000 0.000 Sm
0.000 0.000 4.293 Ho
0.000 0.000 8.518 Ho
2.136 2.136 0.000 Al
2.136 2.136 4.281 Al
2.136 2.136 8.530 Al
2.136 0.000 2.179 Al
2.136 0.000 6.405 Al
2.136 0.000 10.632 Al
0.000 2.136 2.179 Al
0.000 2.136 6.405 Al
0.000 2.136 10.632 Al
```